Entry 1:
Computed, not measured: an optimized crystal structure of PmEuH at the GGA-PBE level of DFT.

The value obtained for the polymorph energy (0 for the lowest one) is 0.0 kJ per mole of atoms. Its magnetization is 15.0 μB per cell.

extended XYZ file:
```
6
Lattice="3.7410 -3.7128 0.0000 3.7410 3.7128 0.0000 -3.7097 0.0000 5.4258" Properties=species:S:1:pos:R:3 pbc="T T T"
Pm 0.0000 0.0000 0.0000
Pm 3.6807 0.0000 0.2355
Eu 1.8750 1.8619 2.8905
Eu 1.8750 -1.8619 2.8905
H -1.7804 0.0000 4.2899
H 3.7011 0.0000 2.8195
```

***

Entry 2:
Computed, not measured: an optimized crystal structure of BaSr2Sb at the GGA-PBE level of DFT.

Its magnetization is 0.0 μB per cell. The value obtained for the uncorrected formation energy is -487 meV per atom.

extended XYZ file:
```
4
Lattice="4.7102 0.0000 0.0000 0.0000 4.7087 0.0000 -0.7488 0.0000 7.9204" Properties=species:S:1:pos:R:3 pbc="T T T"
Ba 0.0000 0.0000 0.0000
Sr 0.1426 0.0000 4.5930
Sr 2.4024 2.3544 2.3146
Sb 1.8331 2.3544 6.3943
```

***

Entry 3:
Computed, not measured: an optimized crystal structure of Tb3Sm2Dy8 at the GGA-PBE level of DFT.

The value obtained for the formation energy is 240 meV per atom. Its magnetization is 0.0 μB per cell.

extended XYZ file:
```
13
Lattice="3.8120 -10.2421 0.0000 3.8120 10.2421 0.0000 0.0000 0.0000 5.5763" Properties=species:S:1:pos:R:3 pbc="T T T"
Tb 0.0000 0.0000 0.0000
Tb 2.1919 0.0000 2.7881
Tb 5.4321 0.0000 2.7881
Sm 3.8120 5.2971 0.0000
Sm 3.8120 -5.2971 0.0000
Dy 3.8120 7.5590 2.7881
Dy 2.1979 2.1890 0.0000
Dy 3.8120 3.3737 2.7881
Dy 2.1979 -2.1890 0.0000
Dy 5.4261 2.1890 0.0000
Dy 3.8120 -3.3737 2.7881
Dy 5.4261 -2.1890 0.0000
Dy 3.8120 -7.5590 2.7881
```

***

Entry 4:
Computed, not measured: an optimized crystal structure of LiZrPb2 at the GGA-PBE level of DFT.

The value obtained for the formation energy is 16 meV per atom. Its magnetization is 0.0 μB per cell.

extended XYZ file:
```
4
Lattice="-1.7252 2.8097 4.9137 1.7252 -2.8097 4.9137 1.7252 2.8097 -4.9137" Properties=species:S:1:pos:R:3 pbc="T T T"
Li 0.0000 0.0000 0.0000
Zr 0.0000 0.0000 4.9137
Pb 1.7252 0.0000 2.3106
Pb 0.0000 2.8097 2.6031
```

***

Which of these has the highest magnetization?
PmEuH

***

Copy entry 2 word for word.
Computed, not measured: an optimized crystal structure of BaSr2Sb at the GGA-PBE level of DFT.

Its magnetization is 0.0 μB per cell. The value obtained for the uncorrected formation energy is -487 meV per atom.

extended XYZ file:
```
4
Lattice="4.7102 0.0000 0.0000 0.0000 4.7087 0.0000 -0.7488 0.0000 7.9204" Properties=species:S:1:pos:R:3 pbc="T T T"
Ba 0.0000 0.0000 0.0000
Sr 0.1426 0.0000 4.5930
Sr 2.4024 2.3544 2.3146
Sb 1.8331 2.3544 6.3943
```

***

Copy entry 1 word for word.
Computed, not measured: an optimized crystal structure of PmEuH at the GGA-PBE level of DFT.

The value obtained for the polymorph energy (0 for the lowest one) is 0.0 kJ per mole of atoms. Its magnetization is 15.0 μB per cell.

extended XYZ file:
```
6
Lattice="3.7410 -3.7128 0.0000 3.7410 3.7128 0.0000 -3.7097 0.0000 5.4258" Properties=species:S:1:pos:R:3 pbc="T T T"
Pm 0.0000 0.0000 0.0000
Pm 3.6807 0.0000 0.2355
Eu 1.8750 1.8619 2.8905
Eu 1.8750 -1.8619 2.8905
H -1.7804 0.0000 4.2899
H 3.7011 0.0000 2.8195
```